RePHCl2: optimized geometry, PBE.

Values from the calculation:
Excess energy over the best structure of this formula in the dataset (meV/atom): 586
Calculated volume (Å³ per atom): 13.576
D(E_F) (states/eV/f.u.): 2.75
Theoretical density (g/cm3): 7.1
DFT total energy (eV per atom): -3.76

a b c (Å): 4.594 4.594 3.216
angles (deg): 90.00 90.00 90.00
Fractional coordinates of all 5 atoms:
P1 0.000 0.000 0.500
Re1 0.500 0.500 0.500
H1 0.000 0.000 0.000
Cl1 0.500 0.000 0.000
Cl2 0.000 0.500 0.000